Record 1
Here is a crystal of ZnSb2TeAu relaxed with PBEsol from Alexandria. Energies are from meta-GGA SCAN.

The structure in CIF format:
```
data_ZnSb2TeAu
_chemical_formula_sum 'Zn1 Sb2 Te1 Au1'
_cell_length_a 5.305
_cell_length_b 5.305
_cell_length_c 5.432
_cell_angle_alpha 90.00
_cell_angle_beta 90.00
_cell_angle_gamma 90.00
_symmetry_space_group_name_H-M 'P 4/m m m'
_symmetry_Int_Tables_number 123
_symmetry_space_group_name_Hall '-P 4 2'
loop_
_atom_site_label
_atom_site_type_symbol
_atom_site_fract_x
_atom_site_fract_y
_atom_site_fract_z
_atom_site_occupancy
Zn1 Zn 0.000 0.000 0.000 1
Sb1 Sb 0.000 0.500 0.500 1
Te1 Te 0.500 0.500 0.000 1
Au1 Au 0.500 0.500 0.500 1
```

Values from the calculation:
electronic total energy: -38.17 eV/atom

=====

Record 2
Here is a crystal of NaCdMo3 relaxed with PBEsol from Alexandria. Energies are from meta-GGA SCAN.

The structure in CIF format:
```
data_NaCdMo3
_chemical_formula_sum 'Na1 Cd1 Mo3'
_cell_length_a 4.501
_cell_length_b 4.501
_cell_length_c 4.501
_cell_angle_alpha 90.00
_cell_angle_beta 90.00
_cell_angle_gamma 90.00
_symmetry_space_group_name_H-M 'P m -3 m'
_symmetry_Int_Tables_number 221
_symmetry_space_group_name_Hall '-P 4 2 3'
loop_
_atom_site_label
_atom_site_type_symbol
_atom_site_fract_x
_atom_site_fract_y
_atom_site_fract_z
_atom_site_occupancy
Na1 Na 0.000 0.000 0.000 1
Cd1 Cd 0.500 0.500 0.500 1
Mo1 Mo 0.000 0.000 0.500 1
```

Values from the calculation:
formation energy: 2.5779 eV per atom
electronic total energy: -25.28 eV/atom

=====

Record 3
Here is a crystal of YIr3Cl relaxed with PBEsol from Alexandria. Energies are from meta-GGA SCAN.

The structure in CIF format:
```
data_YIr3Cl
_chemical_formula_sum 'Y1 Ir3 Cl1'
_cell_length_a 4.968
_cell_length_b 4.968
_cell_length_c 4.968
_cell_angle_alpha 90.00
_cell_angle_beta 90.00
_cell_angle_gamma 90.00
_symmetry_space_group_name_H-M 'P m -3 m'
_symmetry_Int_Tables_number 221
_symmetry_space_group_name_Hall '-P 4 2 3'
loop_
_atom_site_label
_atom_site_type_symbol
_atom_site_fract_x
_atom_site_fract_y
_atom_site_fract_z
_atom_site_occupancy
Y1 Y 0.000 0.000 0.000 1
Ir1 Ir 0.000 0.000 0.500 1
Cl1 Cl 0.500 0.500 0.500 1
```

Values from the calculation:
electronic total energy: -47.50 eV/atom

=====

Record 4
Here is a crystal of BaNaGaRh2 relaxed with PBEsol from Alexandria. Energies are from meta-GGA SCAN.

The structure in CIF format:
```
data_BaNaGaRh2
_chemical_formula_sum 'Ba1 Na1 Ga1 Rh2'
_cell_length_a 4.775
_cell_length_b 4.775
_cell_length_c 5.096
_cell_angle_alpha 90.00
_cell_angle_beta 90.00
_cell_angle_gamma 90.00
_symmetry_space_group_name_H-M 'P 4/m m m'
_symmetry_Int_Tables_number 123
_symmetry_space_group_name_Hall '-P 4 2'
loop_
_atom_site_label
_atom_site_type_symbol
_atom_site_fract_x
_atom_site_fract_y
_atom_site_fract_z
_atom_site_occupancy
Ba1 Ba 0.000 0.000 0.000 1
Na1 Na 0.000 0.000 0.500 1
Ga1 Ga 0.500 0.500 0.000 1
Rh1 Rh 0.000 0.500 0.500 1
```

Values from the calculation:
formation energy: 1.1132 eV per atom
electronic total energy: -24.42 eV/atom